# 1
NbOsSF2: relaxed, GGA-PBE.

Properties
* symmetry: P4/mmm (123)
* VASP energy: -5.557 eV/atom
* DOS at the Fermi energy: 4.87 states/eV/f.u.
* total magnetization: 0.314 μB/atom
* raw formation energy: 6.38 kcal/mol of atoms

Cell and atoms, written as POSCAR:
```
NbOsSF2
1.0
-1.716 -0.672 -3.636
-2.159 -3.645 1.693
-3.155 2.358 1.053
Nb Os F S
1 1 2 1
direct
0.500 0.500 0.500
0.000 0.500 0.000
0.500 0.000 0.000
0.000 0.000 0.500
0.000 0.000 0.000
```

---

# 2
SrNbOs2F: relaxed, GGA-PBE.

Properties
* symmetry: P4/mmm (123)
* VASP energy: -4.050 eV/atom
* DOS at the Fermi energy: 6.45 states/eV/f.u.
* total magnetization: 0.017 μB/atom
* raw formation energy: 73.02 kcal/mol of atoms

Cell and atoms, written as POSCAR:
```
SrNbOs2F
1.0
-1.211 -4.804 0.268
4.382 -0.909 3.497
-2.914 0.953 3.900
Sr Nb Os F
1 1 2 1
direct
0.000 0.000 0.000
0.000 0.500 0.000
0.500 0.000 0.000
0.000 0.000 0.500
0.500 0.500 0.500
```

---

# 3
NbP3F: relaxed, GGA-PBE.

Properties
* symmetry: Pm-3m (221)
* VASP energy: -5.135 eV/atom
* DOS at the Fermi energy: 6.65 states/eV/f.u.
* total magnetization: 0.000 μB/atom
* energy above the most stable polymorph in this dataset: 312 meV/atom
* raw formation energy: 11.52 kcal/mol of atoms

Cell and atoms, written as POSCAR:
```
NbP3F
1.0
4.250 0.000 0.000
0.000 4.250 0.000
0.000 0.000 4.250
F P Nb
1 3 1
direct
0.000 0.000 0.000
0.500 0.000 0.000
0.000 0.500 0.000
0.000 0.000 0.500
0.500 0.500 0.500
```

---

# 4
Nb2PF: relaxed, GGA-PBE.

Properties
* symmetry: I-42d (122)
* VASP energy: -7.470 eV/atom
* DOS at the Fermi energy: 2.70 states/eV/f.u.
* total magnetization: 0.000 μB/atom
* energy above the most stable polymorph in this dataset: 237 meV/atom
* raw formation energy: -14.18 kcal/mol of atoms

Cell and atoms, written as POSCAR:
```
Nb2PF
1.0
6.434 0.000 0.000
0.000 6.434 0.000
3.217 3.217 2.906
P F Nb
2 2 4
direct
0.000 0.000 0.000
0.750 0.250 0.500
0.250 0.750 0.500
0.500 0.500 0.000
0.583 0.125 0.250
0.875 0.833 0.750
0.167 0.625 0.250
0.375 0.417 0.750
```

---

# 5
NbPF2: relaxed, GGA-PBE.

Properties
* symmetry: R-3m (166)
* VASP energy: -6.080 eV/atom
* DOS at the Fermi energy: 2.95 states/eV/f.u.
* total magnetization: 0.000 μB/atom
* energy above the most stable polymorph in this dataset: 0 meV/atom
* raw formation energy: -29.39 kcal/mol of atoms

Cell and atoms, written as POSCAR:
```
NbPF2
1.0
1.600 0.000 10.427
-0.800 1.385 10.427
-0.800 -1.385 10.427
F P Nb
2 1 1
direct
0.118 0.118 0.118
0.882 0.882 0.882
0.000 0.000 0.000
0.500 0.500 0.500
```

---

# 6
Nb2P2F: relaxed, GGA-PBE.

Properties
* symmetry: I4/mmm (139)
* VASP energy: -7.133 eV/atom
* DOS at the Fermi energy: 4.24 states/eV/f.u.
* total magnetization: 0.000 μB/atom
* energy above the most stable polymorph in this dataset: 225 meV/atom
* raw formation energy: -13.06 kcal/mol of atoms

Cell and atoms, written as POSCAR:
```
Nb2P2F
1.0
4.375 0.000 0.000
0.000 4.375 0.000
2.188 2.188 4.662
P Nb F
2 2 1
direct
0.624 0.624 0.752
0.376 0.376 0.248
0.750 0.250 0.500
0.250 0.750 0.500
0.000 0.000 0.000
```

---

# 7
NbPF2: relaxed, GGA-PBE.

Properties
* symmetry: I-42d (122)
* VASP energy: -6.042 eV/atom
* DOS at the Fermi energy: 2.58 states/eV/f.u.
* total magnetization: 0.000 μB/atom
* energy above the most stable polymorph in this dataset: 38 meV/atom
* raw formation energy: -28.51 kcal/mol of atoms

Cell and atoms, written as POSCAR:
```
NbPF2
1.0
3.651 0.000 0.000
0.000 3.651 0.000
1.826 1.826 7.901
F P Nb
4 2 2
direct
0.375 0.323 0.750
0.677 0.125 0.250
0.073 0.625 0.250
0.875 0.927 0.750
0.250 0.750 0.500
0.500 0.500 0.000
0.750 0.250 0.500
0.000 0.000 0.000
```

---

# 8
NbPF3: relaxed, GGA-PBE.

Properties
* symmetry: Pm-3m (221)
* VASP energy: -5.419 eV/atom
* DOS at the Fermi energy: 4.79 states/eV/f.u.
* total magnetization: 0.610 μB/atom
* energy above the most stable polymorph in this dataset: 0 meV/atom
* raw formation energy: -27.68 kcal/mol of atoms

Cell and atoms, written as POSCAR:
```
NbPF3
1.0
-2.059 -3.489 -1.253
1.674 -2.154 3.247
-3.308 1.082 2.423
F P Nb
3 1 1
direct
0.500 0.000 0.000
0.000 0.500 0.000
0.000 0.000 0.500
0.500 0.500 0.500
0.000 0.000 0.000
```

---

# 9
Nb2P2F: relaxed, GGA-PBE.

Properties
* symmetry: P4/mbm (127)
* VASP energy: -7.358 eV/atom
* DOS at the Fermi energy: 3.71 states/eV/f.u.
* total magnetization: 0.000 μB/atom
* energy above the most stable polymorph in this dataset: 0 meV/atom
* raw formation energy: -18.26 kcal/mol of atoms

Cell and atoms, written as POSCAR:
```
Nb2P2F
1.0
7.024 0.000 0.000
0.000 7.024 0.000
0.000 0.000 3.143
Nb F P
4 2 4
direct
0.850 0.350 0.500
0.350 0.150 0.500
0.150 0.650 0.500
0.650 0.850 0.500
0.500 0.500 0.000
0.000 0.000 0.000
0.362 0.862 0.000
0.862 0.638 0.000
0.638 0.138 0.000
0.138 0.362 0.000
```

---

# 10
NbP3F: relaxed, GGA-PBE.

Properties
* symmetry: Pm-3m (221)
* VASP energy: -5.447 eV/atom
* DOS at the Fermi energy: 4.86 states/eV/f.u.
* total magnetization: 0.000 μB/atom
* energy above the most stable polymorph in this dataset: 0 meV/atom
* raw formation energy: 4.32 kcal/mol of atoms

Cell and atoms, written as POSCAR:
```
NbP3F
1.0
4.771 0.000 0.000
0.000 4.771 0.000
0.000 0.000 4.771
P F Nb
3 1 1
direct
0.500 0.000 0.000
0.000 0.500 0.000
0.000 0.000 0.500
0.500 0.500 0.500
0.000 0.000 0.000
```

---

# 11
NbP2F: relaxed, GGA-PBE.

Properties
* symmetry: I-42d (122)
* VASP energy: -5.740 eV/atom
* DOS at the Fermi energy: 3.30 states/eV/f.u.
* total magnetization: 0.000 μB/atom
* energy above the most stable polymorph in this dataset: 192 meV/atom
* raw formation energy: -1.16 kcal/mol of atoms

Cell and atoms, written as POSCAR:
```
NbP2F
1.0
-3.040 -1.850 4.196
1.640 -5.140 -1.078
3.622 -2.834 4.983
P Nb F
4 2 2
direct
0.121 0.625 0.250
0.629 0.125 0.250
0.875 0.879 0.750
0.375 0.371 0.750
0.750 0.250 0.500
0.000 0.000 0.000
0.250 0.750 0.500
0.500 0.500 0.000
```

---

# 12
NbPF2: relaxed, GGA-PBE.

Properties
* symmetry: Fm-3m (225)
* VASP energy: -5.534 eV/atom
* DOS at the Fermi energy: 0.84 states/eV/f.u.
* total magnetization: 0.000 μB/atom
* energy above the most stable polymorph in this dataset: 547 meV/atom
* raw formation energy: -16.79 kcal/mol of atoms

Cell and atoms, written as POSCAR:
```
NbPF2
1.0
0.000 2.912 2.912
2.912 0.000 2.912
2.912 2.912 0.000
F Nb P
2 1 1
direct
0.250 0.250 0.250
0.750 0.750 0.750
0.500 0.500 0.500
0.000 0.000 0.000
```